The following is a DFT calculation (PBE-GGA) of Cr2Br after structural relaxation.

Structure (extended XYZ):
```
3
Lattice="-0.029 2.275 -2.093 -2.064 -0.009 2.302 3.585 3.014 3.227" Properties=species:S:1:pos:R:3 pbc="T T T"
Br 0.000 0.000 0.000
Cr 0.849 2.631 2.849
Cr 0.642 2.648 0.587
```

Results
**Energy relative to the elements, uncorrected**: 0.4841 eV/atom

---

The following is a DFT calculation (PBE-GGA) of Cr2Br after structural relaxation.

Structure (extended XYZ):
```
3
Lattice="4.122 0.000 0.000 -2.061 3.570 0.000 0.000 0.000 2.912" Properties=species:S:1:pos:R:3 pbc="T T T"
Cr 0.000 2.380 2.354
Cr 2.061 1.190 0.559
Br 0.000 0.000 0.000
```

Results
**Energy relative to the elements, uncorrected**: 0.9960 eV/atom

---

The following is a DFT calculation (PBE-GGA) of Cr2Br after structural relaxation.

Structure (extended XYZ):
```
6
Lattice="-4.635 -0.466 2.008 3.686 -3.211 1.355 1.555 3.658 4.438" Properties=species:S:1:pos:R:3 pbc="T T T"
Cr 0.777 1.829 2.219
Cr 0.000 0.000 0.000
Cr 2.078 0.448 4.902
Cr -1.473 -0.466 2.900
Br -0.695 1.363 5.119
Br 1.301 -1.381 2.682
```

Results
**Energy relative to the elements, uncorrected**: 1.0732 eV/atom

---

The following is a DFT calculation (PBE-GGA) of Cr2Br after structural relaxation.

Structure (extended XYZ):
```
6
Lattice="1.620 4.392 0.065 -1.620 4.392 0.065 0.000 2.208 9.019" Properties=species:S:1:pos:R:3 pbc="T T T"
Cr 0.000 7.591 0.755
Cr 0.000 3.402 8.393
Cr 0.000 5.116 1.272
Cr 0.000 5.877 7.876
Br 0.000 8.630 6.385
Br 0.000 2.363 2.763
```

Results
**Energy relative to the elements, uncorrected**: 0.1844 eV/atom

---

The following is a DFT calculation (PBE-GGA) of CrBr2 after structural relaxation.

Structure (extended XYZ):
```
6
Lattice="-1.729 5.285 5.244 -2.773 2.169 6.784 4.842 2.539 8.417" Properties=species:S:1:pos:R:3 pbc="T T T"
Br 0.853 3.197 7.044
Br -0.488 8.307 16.474
Br -2.146 5.395 9.459
Br 4.036 2.823 8.446
Cr 3.427 4.318 11.057
Cr 0.121 6.812 13.862
```

Results
**Energy relative to the elements, uncorrected**: -0.6118 eV/atom

---

The following is a DFT calculation (PBE-GGA) of CrBr2 after structural relaxation.

Structure (extended XYZ):
```
3
Lattice="-2.090 -1.273 2.712 -3.194 -2.429 -1.141 2.443 -6.999 -1.409" Properties=species:S:1:pos:R:3 pbc="T T T"
Br -2.301 -3.968 1.308
Br -0.593 -6.671 -1.104
Cr 0.149 -4.105 0.673
```

Results
**Energy relative to the elements, uncorrected**: -0.6262 eV/atom

---

The following is a DFT calculation (PBE-GGA) of Cr2Br after structural relaxation.

Structure (extended XYZ):
```
6
Lattice="-2.475 2.475 3.961 2.475 -2.475 3.961 2.475 2.475 -3.961" Properties=species:S:1:pos:R:3 pbc="T T T"
Br 2.475 1.237 2.970
Br 0.000 1.237 0.991
Cr 0.000 1.237 5.929
Cr 2.475 1.237 -0.009
Cr 0.000 1.237 3.969
Cr 2.475 1.237 -1.968
```

Results
**Energy relative to the elements, uncorrected**: 0.7484 eV/atom

---

The following is a DFT calculation (PBE-GGA) of Cr2Br after structural relaxation.

Structure (extended XYZ):
```
6
Lattice="1.573 8.827 -0.117 -1.573 8.827 -0.117 0.000 0.777 4.911" Properties=species:S:1:pos:R:3 pbc="T T T"
Br 0.000 11.147 3.268
Br 0.000 7.284 1.409
Cr 0.000 3.837 1.594
Cr 0.000 4.223 4.275
Cr 0.000 14.594 3.083
Cr 0.000 14.208 0.402
```

Results
**Energy relative to the elements, uncorrected**: 0.2912 eV/atom

---

| no. | spin magnetization (μB/f.u.) | final energy (eV per atom) |
| --- | --- | --- |
| 1 | 0.00 | -6.489 |
| 2 | 0.00 | -5.977 |
| 3 | 9.78 | -5.900 |
| 4 | 0.10 | -6.789 |
| 5 | 4.00 | -4.935 |
| 6 | 4.00 | -4.949 |
| 7 | 0.00 | -6.225 |
| 8 | 0.58 | -6.682 |